Computed, not measured: crystalline Mg3Ag2Hg at its relaxed geometry at the GGA-PBE level of DFT.

POSCAR file:
```
Mg3Ag2Hg
1.0
-0.187 -0.481 3.294
0.259 -3.291 -0.466
10.384 0.717 0.695
Mg Ag Hg
3 2 1
Direct
0.000 0.000 0.319 Mg
0.000 0.000 0.681 Mg
0.000 0.000 0.000 Mg
0.500 0.500 0.158 Ag
0.500 0.500 0.842 Ag
0.500 0.500 0.500 Hg
```

Energy of formation ... -1.4 eV per formula unit
Symmetry ... No. 123

Computed, not measured: crystalline HoErBr6 at its relaxed geometry at the GGA-PBE level of DFT.

POSCAR file:
```
HoErBr6
1.0
-4.613 4.700 2.468
-3.780 -1.466 5.746
1.746 3.625 6.376
Ho Br Er
1 6 1
Direct
0.500 0.500 0.500 Ho
0.249 0.905 0.249 Br
0.751 0.095 0.751 Br
0.905 0.596 0.250 Br
0.596 0.249 0.250 Br
0.404 0.751 0.750 Br
0.095 0.404 0.750 Br
0.000 0.000 0.000 Er
```

Symmetry ... No. 148
Uncorrected formation energy ... -1.813 eV per atom

Computed, not measured: crystalline Cr2TcMo at its relaxed geometry at the GGA-PBE level of DFT.

POSCAR file:
```
Cr2TcMo
1.0
-0.011 -3.321 3.712
4.155 -2.660 0.687
-1.928 4.589 -0.161
Cr Tc Mo
2 1 1
Direct
0.756 0.256 0.500 Cr
0.992 0.992 0.000 Cr
0.246 0.746 0.500 Tc
0.506 0.506 0.000 Mo
```

Energy of formation ... 0.2 eV per formula unit
Symmetry ... No. 44

Computed, not measured: crystalline CsTl10Bi3 at its relaxed geometry at the GGA-PBE level of DFT.

POSCAR file:
```
CsTl10Bi3
1.0
-3.716 9.476 5.545
-8.570 -0.813 7.762
2.255 1.368 11.287
Bi Tl Cs
6 20 2
Direct
0.730 0.730 0.270 Bi
0.730 0.270 0.730 Bi
0.270 0.730 0.270 Bi
0.270 0.270 0.730 Bi
0.270 0.730 0.730 Bi
0.730 0.270 0.270 Bi
0.383 0.383 0.852 Tl
0.383 0.852 0.383 Tl
0.000 0.645 0.000 Tl
0.617 0.148 0.617 Tl
0.000 0.355 0.000 Tl
0.617 0.617 0.617 Tl
0.645 0.000 0.355 Tl
0.000 0.000 0.645 Tl
0.383 0.383 0.383 Tl
0.000 0.000 0.355 Tl
0.148 0.617 0.617 Tl
0.645 0.355 0.000 Tl
0.645 0.000 0.000 Tl
0.000 0.645 0.355 Tl
0.355 0.000 0.000 Tl
0.355 0.000 0.645 Tl
0.355 0.645 0.000 Tl
0.000 0.355 0.645 Tl
0.617 0.617 0.148 Tl
0.852 0.383 0.383 Tl
0.750 0.750 0.750 Cs
0.250 0.250 0.250 Cs
```

Energy of formation ... 0.6 eV per formula unit
Symmetry ... No. 225

Computed, not measured: crystalline BaLiYCu2O5 at its relaxed geometry at the GGA-PBE level of DFT.

POSCAR file:
```
BaLiYCu2O5
1.0
2.782 -2.893 0.000
2.782 2.893 0.000
0.000 0.000 7.873
O Li Ba Cu Y
5 1 1 2 1
Direct
0.512 0.010 0.179 O
0.512 0.010 0.821 O
0.490 0.510 0.500 O
0.990 0.488 0.179 O
0.990 0.488 0.821 O
0.657 0.343 0.000 Li
0.966 0.034 0.500 Ba
0.480 0.520 0.250 Cu
0.480 0.520 0.750 Cu
0.073 0.927 0.000 Y
```

Symmetry ... No. 38
Uncorrected formation energy ... -1.678 eV per atom

Computed, not measured: crystalline NdSm7Hg2 at its relaxed geometry at the GGA-PBE level of DFT.

POSCAR file:
```
NdSm7Hg2
1.0
-3.221 3.863 -1.983
-4.835 -6.271 -4.363
-2.416 2.299 8.403
Sm Hg Nd
7 2 1
Direct
0.000 0.765 0.235 Sm
0.500 0.500 0.500 Sm
0.500 0.062 0.303 Sm
0.500 0.303 0.062 Sm
0.000 0.235 0.765 Sm
0.500 0.697 0.938 Sm
0.500 0.938 0.697 Sm
0.500 0.694 0.306 Hg
0.500 0.306 0.694 Hg
0.000 0.000 0.000 Nd
```

Energy of formation ... 2.7 eV per formula unit
Symmetry ... No. 65

Computed, not measured: crystalline KAgIr4 at its relaxed geometry at the GGA-PBE level of DFT.

POSCAR file:
```
KAgIr4
1.0
0.000 3.783 3.783
3.783 0.000 3.783
3.783 3.783 0.000
Ir Ag K
4 1 1
Direct
0.876 0.375 0.375 Ir
0.375 0.375 0.876 Ir
0.375 0.375 0.375 Ir
0.375 0.876 0.375 Ir
0.000 0.000 0.000 Ag
0.750 0.750 0.750 K
```

Energy of formation ... 3.9 eV per formula unit
Symmetry ... No. 216

Computed, not measured: crystalline Rb2HfB at its relaxed geometry at the GGA-PBE level of DFT.

POSCAR file:
```
Rb2HfB
1.0
13.494 0.000 0.000
0.000 13.494 0.000
6.747 6.747 2.248
B Rb Hf
2 4 2
Direct
0.250 0.750 0.500 B
0.500 0.500 0.000 B
0.326 0.625 0.250 Rb
0.375 0.576 0.750 Rb
0.424 0.125 0.250 Rb
0.875 0.674 0.750 Rb
0.750 0.250 0.500 Hf
0.000 0.000 0.000 Hf
```

Energy of formation ... 4.3 eV per formula unit
Symmetry ... No. 122

Q: Which total magnetization values were calculated for the entries above? A: 0.0; 0.0; 0.0; 0.0; 0.0; 0.0; 2.8; 0.0, in μB per cell.